Material: BiPt19
Method: DFT, PBE-GGA
State: relaxed

As for the calculated total energy: -0.4359 Ry/atom. The mass density is 13.96 Mg/m³. As for the space group: No. 11. The value obtained for the size of the total moment is 0.001 μB/atom.

Cell lengths 5.612, 3.961, 41.909 Å; angles 90.00, 90.01, 90.00 degrees
Fractional positions:
Bi 0.125 0.250 0.326
Bi 0.875 0.750 0.674
Pt 0.122 0.250 0.782
Pt 0.123 0.250 0.712
Pt 0.124 0.250 0.849
Pt 0.125 0.250 0.050
Pt 0.125 0.250 0.117
Pt 0.125 0.250 0.184
Pt 0.125 0.250 0.253
Pt 0.125 0.250 0.916
Pt 0.125 0.250 0.983
Pt 0.372 0.750 0.218
Pt 0.373 0.750 0.288
Pt 0.374 0.750 0.151
Pt 0.375 0.750 0.017
Pt 0.375 0.750 0.084
Pt 0.375 0.750 0.684
Pt 0.375 0.750 0.750
Pt 0.375 0.750 0.816
Pt 0.375 0.750 0.883
Pt 0.375 0.750 0.950
Pt 0.625 0.250 0.050
Pt 0.625 0.250 0.117
Pt 0.625 0.250 0.184
Pt 0.625 0.250 0.250
Pt 0.625 0.250 0.316
Pt 0.625 0.250 0.916
Pt 0.625 0.250 0.983
Pt 0.626 0.250 0.849
Pt 0.627 0.250 0.712
Pt 0.628 0.250 0.782
Pt 0.875 0.750 0.017
Pt 0.875 0.750 0.084
Pt 0.875 0.750 0.747
Pt 0.875 0.750 0.816
Pt 0.875 0.750 0.883
Pt 0.875 0.750 0.950
Pt 0.876 0.750 0.151
Pt 0.877 0.750 0.288
Pt 0.878 0.750 0.218